1.
This record from Alexandria via LeMat-Bulk describes crystalline KHgTe2Pd at its relaxed geometry. The functional is PBE.

Unit cell a=4.8930 b=7.6200 c=8.1676 alpha=90.52 beta=90.00 gamma=90.00
Positions (direct):
K: 0.0063 0.5000 0.7500
K: 0.9937 0.5000 0.2500
Hg: 0.0000 0.0000 0.0000
Hg: 0.0000 0.0000 0.5000
Te: 0.5737 0.7567 0.9981
Te: 0.5737 0.2433 0.5019
Te: 0.4263 0.7567 0.4981
Te: 0.4263 0.2433 0.0019
Pd: 0.4980 0.0000 0.2500
Pd: 0.5020 0.0000 0.7500

Computed properties:
**E_tot**: -29.59 eV/cell
**Spin magnetization**: 0.00 μB per atom
**Volume**: 30.5 A^3/atom
**Raw formation energy**: -0.384 eV/atom

2.
This record from Alexandria via LeMat-Bulk describes crystalline Al4ZnGa7 at its relaxed geometry. The functional is PBE.

Unit cell a=4.9168 b=8.4792 c=6.2623 alpha=83.75 beta=66.89 gamma=73.15
Positions (direct):
Al: 0.5692 0.2235 0.6381
Al: 0.4308 0.7765 0.3619
Al: 0.7137 0.6741 0.8985
Al: 0.2863 0.3259 0.1015
Zn: 0.0000 0.0000 0.0000
Ga: 0.7844 0.8927 0.5385
Ga: 0.2156 0.1073 0.4615
Ga: 0.0789 0.6591 0.1831
Ga: 0.9211 0.3409 0.8169
Ga: 0.3538 0.5716 0.7209
Ga: 0.5000 0.0000 0.0000
Ga: 0.6462 0.4284 0.2791

Computed properties:
**E_tot**: -36.40 eV/cell
**Spin magnetization**: 0.00 μB per atom
**Volume**: 19.1 A^3/atom
**ΔE to the lowest computed polymorph**: 0.88 kcal/mol of atoms

3.
This record from Alexandria via LeMat-Bulk describes crystalline OsRh2 at its relaxed geometry. The functional is PBE.

Unit cell a=4.3453 b=4.3453 c=5.3611 alpha=90.00 beta=90.00 gamma=120.00
Positions (direct):
Os: 0.3333 0.6667 0.2500
Os: 0.6667 0.3333 0.7500
Rh: 0.0000 0.0000 0.0000
Rh: 0.0000 0.0000 0.5000
Rh: 0.3333 0.6667 0.7500
Rh: 0.6667 0.3333 0.2500

Computed properties:
**E_tot**: -49.72 eV/cell
**Spin magnetization**: 0.00 μB per atom
**Volume**: 14.6 A^3/atom
**ΔE to the lowest computed polymorph**: 7.87 kcal/mol of atoms

4.
This record from Alexandria via LeMat-Bulk describes crystalline Ce2Zn3Au5 at its relaxed geometry. The functional is PBE.

Unit cell a=5.8398 b=9.0019 c=9.0019 alpha=72.95 beta=71.07 gamma=71.07
Last column: magnetic moment on the atom in μB.
Positions (direct):
Ce: 0.1416 0.5791 0.1377  0.87
Ce: 0.6416 0.1377 0.5791  0.87
Ce: 0.8584 0.4209 0.8623  0.87
Ce: 0.3584 0.8623 0.4209  0.87
Zn: 0.3512 0.5566 0.7410  0.00
Zn: 0.8512 0.7410 0.5566  0.00
Zn: 0.6488 0.4434 0.2590  0.00
Zn: 0.1488 0.2590 0.4434  0.00
Zn: 0.2500 0.0000 0.0000  0.00
Zn: 0.7500 0.0000 0.0000  0.00
Au: 0.4154 0.2674 0.9018  0.00
Au: 0.9154 0.9018 0.2674  0.00
Au: 0.5846 0.7326 0.0982  0.00
Au: 0.0846 0.0982 0.7326  0.00
Au: 0.4567 0.7933 0.7933  0.01
Au: 0.5433 0.2067 0.2067  0.01
Au: 0.7500 0.5000 0.5000  0.00
Au: 0.2500 0.5000 0.5000  0.00
Au: 0.0433 0.2067 0.2067  0.01
Au: 0.9567 0.7933 0.7933  0.01

Computed properties:
**E_tot**: -73.54 eV/cell
**Spin magnetization**: 0.21 μB per atom
**Volume**: 20.7 A^3/atom
**ΔE to the lowest computed polymorph**: 0.26 kcal/mol of atoms

5.
This record from Alexandria via LeMat-Bulk describes crystalline CsTb2Ag3Te5 at its relaxed geometry. The functional is PBE.

Unit cell a=8.5556 b=8.5556 c=18.6654 alpha=90.00 beta=90.00 gamma=148.85
Positions (direct):
Cs: 0.5580 0.4420 0.2500
Cs: 0.4420 0.5580 0.7500
Tb: 0.6910 0.3090 0.9063
Tb: 0.3090 0.6910 0.0937
Tb: 0.6910 0.3090 0.5937
Tb: 0.3090 0.6910 0.4063
Ag: 0.8408 0.1592 0.2500
Ag: 0.1592 0.8408 0.7500
Ag: 0.0849 0.9151 0.4660
Ag: 0.9151 0.0849 0.5340
Ag: 0.0849 0.9151 0.0340
Ag: 0.9151 0.0849 0.9660
Te: 0.0640 0.9360 0.8820
Te: 0.9360 0.0640 0.1180
Te: 0.0640 0.9360 0.6180
Te: 0.9360 0.0640 0.3820
Te: 0.6780 0.3220 0.4277
Te: 0.3220 0.6780 0.5723
Te: 0.6780 0.3220 0.0723
Te: 0.3220 0.6780 0.9277
Te: 0.2458 0.7542 0.2500
Te: 0.7542 0.2458 0.7500

Computed properties:
**E_tot**: -88.32 eV/cell
**Spin magnetization**: 0.00 μB per atom
**Volume**: 32.1 A^3/atom
**Raw formation energy**: -0.890 eV/atom

6.
This record from Alexandria via LeMat-Bulk describes crystalline LaMgBi3 at its relaxed geometry. The functional is PBE.

Unit cell a=5.5196 b=5.5196 c=5.5196 alpha=90.00 beta=90.00 gamma=90.00
Positions (direct):
Mg: 0.0000 0.0000 0.0000
Bi: 0.0000 0.5000 0.0000
Bi: 0.0000 0.0000 0.5000
Bi: 0.5000 0.0000 0.0000
La: 0.5000 0.5000 0.5000

Computed properties:
**E_tot**: -18.40 eV/cell
**Spin magnetization**: 0.00 μB per atom
**Volume**: 33.6 A^3/atom
**ΔE to the lowest computed polymorph**: 10.28 kcal/mol of atoms